# ScCrH2Pd

A relaxed structure of ScCrH2Pd (PBE, the Alexandria database).

Geometry as POSCAR:
```
ScCrH2Pd
1.0
3.671 0.000 0.000
0.000 3.671 0.000
0.000 0.000 5.689
Sc Cr H Pd
1 1 2 1
Cartesian
0.000 0.000 0.000
0.000 0.000 2.844
0.000 1.836 0.000
1.836 0.000 0.000
1.836 1.836 2.844
```

* M_tot: 4.2 μB/cell
* energy: -5.1921 eV/atom